1.
{
  "formula": "CuHg2Te",
  "functional": "GGA-PBE",
  "state": "relaxed",
  "spacegroup": "Immm",
  "n_ef_per_ev_atom": 0.35,
  "energy_ry_per_atom": -0.136,
  "lattice": [[7.412, 0.008, -0.029], [5.430, 5.045, 0.029], [-6.404, -2.571, 2.706]],
  "species": ["Hg", "Hg", "Cu", "Te"],
  "frac_coords": [[0.447, 0.447, 0.000], [0.053, 0.053, 0.000], [0.250, 0.750, 0.500], [0.750, 0.250, 0.500]]
}

=====

2.
{
  "formula": "Co2TeSe",
  "functional": "GGA-PBE",
  "state": "relaxed",
  "spacegroup": "R-3m",
  "e_above_lowest_polymorph_ev_per_atom": 0.155,
  "n_ef_per_ev_atom": 1.11,
  "energy_ry_per_atom": -0.375,
  "lattice": [[3.694, -0.071, 0.045], [1.903, 3.167, 0.045], [1.798, 0.995, 5.601]],
  "species": ["Te", "Se", "Co", "Co"],
  "frac_coords": [[0.250, 0.250, 0.250], [0.750, 0.750, 0.750], [0.026, 0.026, 0.923], [0.474, 0.474, 0.577]]
}